[1]
A plane-wave DFT calculation with meta-GGA SCAN was carried out for TlIn2Ru at its PBEsol-relaxed geometry.

Lattice parameters (Å, degrees): 4.853 4.853 4.853 60.00 60.00 60.00
Element x y z (fractional)
Tl 0.000 0.000 0.000
In 0.500 0.500 0.500
In 0.750 0.750 0.750
Ru 0.250 0.250 0.250

***

[2]
A plane-wave DFT calculation with meta-GGA SCAN was carried out for TlIn2Ru at its PBEsol-relaxed geometry.

Lattice parameters (Å, degrees): 9.500 9.500 9.500 19.71 19.71 19.71
Element x y z (fractional)
Tl 0.000 0.000 0.000
In 0.236 0.236 0.236
In 0.764 0.764 0.764
Ru 0.500 0.500 0.500

***

[3]
A plane-wave DFT calculation with meta-GGA SCAN was carried out for TlIn2Ru at its PBEsol-relaxed geometry.

Lattice parameters (Å, degrees): 5.039 5.039 3.331 90.00 90.00 110.42
Element x y z (fractional)
Tl 0.000 0.000 0.000
In 0.000 0.500 0.500
In 0.500 0.000 0.500
Ru 0.500 0.500 0.000

***

[4]
A plane-wave DFT calculation with meta-GGA SCAN was carried out for InRuW2 at its PBEsol-relaxed geometry.

Lattice parameters (Å, degrees): 4.916 4.916 4.924 101.33 101.33 33.65
Element x y z (fractional)
In 0.000 0.000 0.000
Ru 0.243 0.243 0.737
W 0.515 0.515 0.510
W 0.766 0.766 0.284

***

[5]
A plane-wave DFT calculation with meta-GGA SCAN was carried out for InRuW3 at its PBEsol-relaxed geometry.

Lattice parameters (Å, degrees): 4.662 4.662 4.662 90.00 90.00 90.00
Element x y z (fractional)
In 0.000 0.000 0.000
Ru 0.500 0.500 0.500
W 0.000 0.500 0.500
W 0.500 0.000 0.500
W 0.500 0.500 0.000

***

[6]
A plane-wave DFT calculation with meta-GGA SCAN was carried out for InRu2W at its PBEsol-relaxed geometry.

Lattice parameters (Å, degrees): 5.157 5.157 2.791 103.29 103.29 113.46
Element x y z (fractional)
In 0.000 0.000 0.000
Ru 0.000 0.500 0.500
Ru 0.500 0.000 0.500
W 0.500 0.500 0.000

***

[7]
A plane-wave DFT calculation with meta-GGA SCAN was carried out for InRu2W at its PBEsol-relaxed geometry.

Lattice parameters (Å, degrees): 2.954 3.315 6.285 90.00 90.00 90.00
Element x y z (fractional)
In 0.000 0.000 0.000
Ru 0.500 0.500 0.267
Ru 0.500 0.500 0.733
W 0.000 0.000 0.500

***

[8]
A plane-wave DFT calculation with meta-GGA SCAN was carried out for InRuW at its PBEsol-relaxed geometry.

Lattice parameters (Å, degrees): 6.021 6.021 6.021 151.69 151.69 40.47
Element x y z (fractional)
In 0.000 0.000 0.000
Ru 0.676 0.676 0.000
W 0.311 0.311 0.000

***

[9]
A plane-wave DFT calculation with meta-GGA SCAN was carried out for InRu2W at its PBEsol-relaxed geometry.

Lattice parameters (Å, degrees): 4.542 4.542 4.542 124.56 124.56 82.26
Element x y z (fractional)
In 0.000 0.000 0.000
Ru 0.250 0.750 0.500
Ru 0.750 0.250 0.500
W 0.500 0.500 0.000

***

[10]
A plane-wave DFT calculation with meta-GGA SCAN was carried out for YIn2RuW at its PBEsol-relaxed geometry.

Lattice parameters (Å, degrees): 5.141 5.141 4.638 90.00 90.00 90.00
Element x y z (fractional)
Y 0.000 0.000 0.000
In 0.000 0.500 0.500
In 0.500 0.000 0.500
Ru 0.500 0.500 0.000
W 0.500 0.500 0.500

***

[11]
A plane-wave DFT calculation with meta-GGA SCAN was carried out for YInRu2 at its PBEsol-relaxed geometry.

Lattice parameters (Å, degrees): 2.976 2.976 8.126 90.00 90.00 90.00
Element x y z (fractional)
Y 0.000 0.000 0.000
In 0.500 0.500 0.318
Ru 0.000 0.000 0.557
Ru 0.500 0.500 0.741

***

[12]
A plane-wave DFT calculation with meta-GGA SCAN was carried out for ZnInRu2 at its PBEsol-relaxed geometry.

Lattice parameters (Å, degrees): 5.108 5.108 5.108 145.77 126.48 65.08
Element x y z (fractional)
Zn 0.000 0.000 0.000
In 0.500 0.500 0.000
Ru 0.235 0.735 0.500
Ru 0.765 0.265 0.500

***

[13]
A plane-wave DFT calculation with meta-GGA SCAN was carried out for ZnInRu2 at its PBEsol-relaxed geometry.

Lattice parameters (Å, degrees): 2.817 2.817 7.817 90.00 90.00 90.00
Element x y z (fractional)
Zn 0.000 0.000 0.000
In 0.500 0.500 0.306
Ru 0.000 0.000 0.569
Ru 0.500 0.500 0.774

***

[14]
A plane-wave DFT calculation with meta-GGA SCAN was carried out for ZrIn2Ru at its PBEsol-relaxed geometry.

Lattice parameters (Å, degrees): 4.992 4.992 4.992 128.41 128.41 75.95
Element x y z (fractional)
Zr 0.000 0.000 0.000
In 0.250 0.750 0.500
In 0.500 0.500 0.000
Ru 0.750 0.250 0.500

***

[15]
A plane-wave DFT calculation with meta-GGA SCAN was carried out for In5S8 at its PBEsol-relaxed geometry.

**Uncorrected formation energy**: -0.57 eV/atom

Lattice parameters (Å, degrees): 7.521 7.521 7.521 60.00 60.00 60.00
Element x y z (fractional)
In 0.000 0.000 0.000
In 0.383 0.383 0.383
In 0.383 0.383 0.850
In 0.383 0.850 0.383
In 0.850 0.383 0.383
S 0.126 0.625 0.625
S 0.135 0.135 0.135
S 0.135 0.135 0.596
S 0.135 0.596 0.135
S 0.596 0.135 0.135
S 0.625 0.126 0.625
S 0.625 0.625 0.126
S 0.625 0.625 0.625

***

[16]
A plane-wave DFT calculation with meta-GGA SCAN was carried out for In3S4 at its PBEsol-relaxed geometry.

**Uncorrected formation energy**: -0.60 eV/atom

Lattice parameters (Å, degrees): 7.757 7.757 7.757 60.00 60.00 60.00
Element x y z (fractional)
In 0.000 0.000 0.000
In 0.000 0.000 0.500
In 0.000 0.500 0.000
In 0.375 0.375 0.375
In 0.500 0.000 0.000
In 0.625 0.625 0.625
S 0.224 0.759 0.759
S 0.241 0.241 0.241
S 0.241 0.241 0.776
S 0.241 0.776 0.241
S 0.759 0.224 0.759
S 0.759 0.759 0.224
S 0.759 0.759 0.759
S 0.776 0.241 0.241

***

[17]
A plane-wave DFT calculation with meta-GGA SCAN was carried out for InSbS3 at its PBEsol-relaxed geometry.

**Uncorrected formation energy**: 0.33 eV/atom

Lattice parameters (Å, degrees): 4.886 4.886 4.886 90.00 90.00 90.00
Element x y z (fractional)
In 0.000 0.000 0.000
Sb 0.500 0.500 0.500
S 0.000 0.000 0.500
S 0.000 0.500 0.000
S 0.500 0.000 0.000

***

[18]
A plane-wave DFT calculation with meta-GGA SCAN was carried out for InSbS3 at its PBEsol-relaxed geometry.

**Uncorrected formation energy**: -0.48 eV/atom

Lattice parameters (Å, degrees): 9.265 3.828 12.987 90.00 90.00 90.00
Element x y z (fractional)
In 0.155 0.250 0.044
In 0.345 0.750 0.544
In 0.655 0.250 0.456
In 0.845 0.750 0.956
Sb 0.020 0.250 0.650
Sb 0.480 0.750 0.150
Sb 0.520 0.250 0.850
Sb 0.980 0.750 0.350
S 0.001 0.750 0.118
S 0.156 0.250 0.479
S 0.187 0.750 0.709
S 0.313 0.250 0.209
S 0.344 0.750 0.979
S 0.499 0.250 0.618
S 0.501 0.750 0.382
S 0.656 0.250 0.021
S 0.687 0.750 0.791
S 0.813 0.250 0.291
S 0.844 0.750 0.521
S 0.999 0.250 0.882

***

[19]
A plane-wave DFT calculation with meta-GGA SCAN was carried out for InSbS2 at its PBEsol-relaxed geometry.

**Uncorrected formation energy**: -0.38 eV/atom

Lattice parameters (Å, degrees): 8.529 8.529 8.529 24.96 24.96 24.96
Element x y z (fractional)
In 0.000 0.000 0.000
Sb 0.500 0.500 0.500
S 0.393 0.393 0.393
S 0.607 0.607 0.607

***

[20]
A plane-wave DFT calculation with meta-GGA SCAN was carried out for InSiSbS2 at its PBEsol-relaxed geometry.

**Uncorrected formation energy**: 0.77 eV/atom

Lattice parameters (Å, degrees): 4.907 4.907 5.027 90.00 90.00 90.00
Element x y z (fractional)
In 0.000 0.000 0.000
Si 0.000 0.000 0.500
Sb 0.500 0.500 0.500
S 0.000 0.500 0.000
S 0.500 0.000 0.000

***

[21]
A plane-wave DFT calculation with meta-GGA SCAN was carried out for Zr2InSbS at its PBEsol-relaxed geometry.

**Uncorrected formation energy**: 0.65 eV/atom

Lattice parameters (Å, degrees): 5.374 5.374 4.617 90.00 90.00 90.00
Element x y z (fractional)
Zr 0.000 0.500 0.000
Zr 0.500 0.000 0.000
In 0.000 0.000 0.000
Sb 0.500 0.500 0.500
S 0.000 0.000 0.500

***

[22]
A plane-wave DFT calculation with meta-GGA SCAN was carried out for In2SiS at its PBEsol-relaxed geometry.

**Uncorrected formation energy**: -0.21 eV/atom

Lattice parameters (Å, degrees): 7.374 7.374 7.374 132.65 132.65 69.21
Element x y z (fractional)
In 0.114 0.625 0.989
In 0.375 0.364 0.489
In 0.636 0.125 0.011
In 0.875 0.886 0.511
Si 0.000 0.000 0.000
Si 0.750 0.250 0.500
S 0.250 0.750 0.500
S 0.500 0.500 0.000

***

[23]
A plane-wave DFT calculation with meta-GGA SCAN was carried out for In3SiS at its PBEsol-relaxed geometry.

**Uncorrected formation energy**: 0.67 eV/atom

Lattice parameters (Å, degrees): 5.096 5.096 5.096 90.00 90.00 90.00
Element x y z (fractional)
In 0.000 0.000 0.500
In 0.000 0.500 0.000
In 0.500 0.000 0.000
Si 0.500 0.500 0.500
S 0.000 0.000 0.000

***

[24]
A plane-wave DFT calculation with meta-GGA SCAN was carried out for InSiTc2S at its PBEsol-relaxed geometry.

**Uncorrected formation energy**: 2.03 eV/atom

Lattice parameters (Å, degrees): 5.024 5.024 4.680 90.00 90.00 90.00
Element x y z (fractional)
In 0.000 0.000 0.000
Si 0.500 0.500 0.500
Tc 0.000 0.500 0.000
Tc 0.500 0.000 0.000
S 0.000 0.000 0.500

***

[25]
A plane-wave DFT calculation with meta-GGA SCAN was carried out for Sm3InS6 at its PBEsol-relaxed geometry.

**Uncorrected formation energy**: -1.97 eV/atom

Lattice parameters (Å, degrees): 13.508 16.478 3.876 90.00 90.00 90.00
Element x y z (fractional)
Sm 0.041 0.223 0.250
Sm 0.188 0.646 0.250
Sm 0.248 0.894 0.751
Sm 0.252 0.394 0.249
Sm 0.312 0.146 0.750
Sm 0.459 0.723 0.750
Sm 0.541 0.277 0.750
Sm 0.688 0.854 0.750
Sm 0.748 0.606 0.249
Sm 0.752 0.106 0.751
Sm 0.812 0.354 0.250
Sm 0.959 0.777 0.250
In 0.000 0.000 0.752
In 0.000 0.500 0.749
In 0.500 0.000 0.251
In 0.500 0.500 0.248
S 0.023 0.396 0.249
S 0.094 0.914 0.251
S 0.111 0.748 0.750
S 0.113 0.116 0.750
S 0.182 0.286 0.750
S 0.192 0.520 0.750
S 0.308 0.020 0.250
S 0.318 0.786 0.250
S 0.387 0.616 0.250
S 0.389 0.248 0.250
S 0.406 0.414 0.749
S 0.477 0.896 0.751
S 0.523 0.104 0.751
S 0.594 0.586 0.749
S 0.611 0.752 0.250
S 0.613 0.384 0.250
S 0.682 0.214 0.250
S 0.692 0.980 0.250
S 0.808 0.480 0.750
S 0.818 0.714 0.750
S 0.887 0.884 0.750
S 0.889 0.252 0.750
S 0.906 0.086 0.251
S 0.977 0.604 0.249

***

Results for E_tot: -171.58, -173.06, -172.32, -205.90, -267.91, -171.03, -172.65, -137.42, -172.38, -196.07, -131.22, -115.59, -116.22, -133.08, -251.35, -285.74, -97.88, -407.64, -91.42, -96.07, -138.41, -174.49, -116.48, -113.00, -976.57 (in eV per cell, following the order of the records).